1.
Here is a relaxed structure of Sm2Ga6CoPd from the Alexandria database. Energies are from PBE-GGA.

Results
Formation enthalpy at 0 K   -350 meV per atom

Cell and atoms, written as POSCAR:
```
Sm2Ga6CoPd
1.0
6.601 0.000 0.000
0.000 6.601 0.000
3.301 3.300 4.668
Ga Sm Pd Co
6 2 1 1
Direct
0.758 0.758 0.483
0.242 0.242 0.000
0.242 0.242 0.517
0.758 0.758 0.000
0.758 0.242 0.000
0.242 0.758 0.000
0.250 0.750 0.500
0.750 0.250 0.500
0.500 0.500 0.000
0.000 0.000 0.000
```

2.
Here is a relaxed structure of SmGa4CoPd2 from the Alexandria database. Energies are from PBE-GGA.

Results
Formation enthalpy at 0 K   -558 meV per atom

Cell and atoms, written as POSCAR:
```
SmGa4CoPd2
1.0
4.240 0.000 0.000
2.120 3.672 0.000
2.120 1.224 8.713
Ga Sm Pd Co
4 1 2 1
Direct
0.864 0.864 0.407
0.598 0.598 0.207
0.136 0.136 0.593
0.402 0.402 0.793
0.000 0.000 0.000
0.764 0.764 0.709
0.236 0.236 0.291
0.500 0.500 0.500
```